The following is a DFT calculation (PBEsol) of crystalline Zr2SeSBr at its relaxed geometry.

Crystal system: tetragonal
Raw formation energy: -0.17 eV per atom
D(E_F): 3.970 states/eV/f.u.
Total magnetic moment: 0.00 μB per formula unit

Geometry as POSCAR:
```
Zr2SeSBr
1.0
4.845 0.000 0.000
0.000 4.845 0.000
0.000 0.000 4.789
Zr Se S Br
2 1 1 1
direct
0.000 0.500 0.000 Zr
0.500 0.000 0.000 Zr
0.000 0.000 0.500 Se
0.000 0.000 0.000 S
0.500 0.500 0.500 Br
```